# HgPtCl | the Alexandria database | PBEsol | relaxed
# * crystal system: cubic
# * polymorph energy (0 for the lowest one): 0.467 eV per atom
# * uncorrected formation energy: 651 meV/atom
data_HgPtCl
_symmetry_space_group_name_H-M 'F -4 3 m'
_symmetry_Int_Tables_number 216
_symmetry_space_group_name_Hall 'F -4 2 3'
_cell_length_a 6.412
_cell_length_b 6.412
_cell_length_c 6.412
_cell_angle_alpha 90.00
_cell_angle_beta 90.00
_cell_angle_gamma 90.00
loop_
_atom_site_label
_atom_site_type_symbol
_atom_site_fract_x
_atom_site_fract_y
_atom_site_fract_z
Hg1 Hg 0.000 0.000 0.000
Pt1 Pt 0.250 0.250 0.750
Cl1 Cl 0.250 0.250 0.250

# Na3GaP2H2O9 | the Alexandria database | PBEsol | relaxed
# * crystal system: monoclinic
# * E: -429.3 eV per cell
data_Na3GaP2H2O9
_symmetry_space_group_name_H-M 'C 1 2/m 1'
_symmetry_Int_Tables_number 12
_symmetry_space_group_name_Hall '-C 2y'
_cell_length_a 15.386
_cell_length_b 7.166
_cell_length_c 7.051
_cell_angle_alpha 90.00
_cell_angle_beta 96.97
_cell_angle_gamma 90.00
loop_
_atom_site_label
_atom_site_type_symbol
_atom_site_fract_x
_atom_site_fract_y
_atom_site_fract_z
Na1 Na 0.000 0.235 0.000
Na2 Na 0.112 0.500 0.708
Na3 Na 0.250 0.250 0.500
Ga1 Ga 0.250 0.250 0.000
P1 P 0.118 0.000 0.697
P2 P 0.121 0.500 0.225
H1 H 0.053 0.000 0.384
H2 H 0.188 0.000 0.183
O1 O 0.021 0.500 0.215
O2 O 0.025 0.000 0.757
O3 O 0.114 0.000 0.471
O4 O 0.147 0.322 0.115
O5 O 0.168 0.179 0.764
O6 O 0.168 0.500 0.429
O7 O 0.241 0.000 0.118

Number 1: density of states at the Fermi level 8.60 states/eV/cell. Number 2: density of states at the Fermi level 0.00 states/eV/cell.